# ScCoGe (meta-GGA SCAN, PBEsol geometry)
# DFT total energy (eV per atom): -17.619
data_ScCoGe
_cell_length_a 6.417
_cell_length_b 4.020
_cell_length_c 6.900
_cell_angle_alpha 90.00
_cell_angle_beta 90.00
_cell_angle_gamma 90.00
_symmetry_space_group_name_H-M 'P n m a'
_symmetry_Int_Tables_number 62
_symmetry_space_group_name_Hall '-P 2ac 2n'
loop_
_atom_site_label
_atom_site_fract_x
_atom_site_fract_y
_atom_site_fract_z
Sc1 0.004 0.250 0.200
Co1 0.153 0.750 0.439
Ge1 0.213 0.250 0.609

=====

# InSbRu2 (meta-GGA SCAN, PBEsol geometry)
# E_form (uncorrected) (eV per atom): 0.100
# DFT total energy (eV per atom): -34.975
data_InSbRu2
_cell_length_a 9.714
_cell_length_b 3.120
_cell_length_c 4.572
_cell_angle_alpha 90.00
_cell_angle_beta 106.24
_cell_angle_gamma 90.00
_symmetry_space_group_name_H-M 'C 1 m 1'
_symmetry_Int_Tables_number 8
_symmetry_space_group_name_Hall 'C -2y'
loop_
_atom_site_label
_atom_site_fract_x
_atom_site_fract_y
_atom_site_fract_z
In1 0.000 0.000 0.000
Sb1 0.236 0.000 0.603
Ru1 0.243 0.500 0.103
Ru2 0.498 0.000 0.501